Entry 1:
VASP calculation (PBE-GGA) on a relaxed ThGe4Rh5 crystal.

Computed properties:
- SG: Pmmn (59)

a = 7.0089 Å, b = 8.8676 Å, c = 5.7231 Å
α = 90.00°, β = 90.00°, γ = 90.00°
Last column: nearest neighbours and their distance in Å.
Sites, in units of the cell vectors:
1 Th 0.2500 0.2500 0.0377  4 Rh 3.01, 6 Ge 3.10-3.24
2 Th 0.7500 0.7500 0.9623  4 Rh 3.01, 6 Ge 3.10-3.24
3 Ge 0.0534 0.2500 0.5511  3 Rh 2.40-2.56
4 Ge 0.2500 0.5982 0.9954  5 Rh 2.42-2.49, 1 Ge 2.69
5 Ge 0.2500 0.9018 0.9954  5 Rh 2.42-2.49, 1 Ge 2.69
6 Ge 0.4466 0.2500 0.5511  3 Rh 2.40-2.56
7 Ge 0.5534 0.7500 0.4489  3 Rh 2.40-2.56
8 Ge 0.7500 0.0982 0.0046  5 Rh 2.42-2.49, 1 Ge 2.69
9 Ge 0.7500 0.4018 0.0046  5 Rh 2.42-2.49, 1 Ge 2.69
10 Ge 0.9466 0.7500 0.4489  3 Rh 2.40-2.56
11 Rh 0.0128 0.0075 0.2618  4 Ge 2.44-2.73, 1 Rh 2.74
12 Rh 0.0128 0.4925 0.2618  4 Ge 2.44-2.73, 1 Rh 2.74
13 Rh 0.2500 0.7500 0.6446  4 Ge 2.40-2.42
14 Rh 0.4872 0.0075 0.2618  4 Ge 2.44-2.73, 1 Rh 2.74
15 Rh 0.4872 0.4925 0.2618  4 Ge 2.44-2.73, 1 Rh 2.74
16 Rh 0.5128 0.5075 0.7382  4 Ge 2.44-2.73, 1 Rh 2.74
17 Rh 0.5128 0.9925 0.7382  4 Ge 2.44-2.73, 1 Rh 2.74
18 Rh 0.7500 0.2500 0.3554  4 Ge 2.40-2.42
19 Rh 0.9872 0.5075 0.7382  4 Ge 2.44-2.73, 1 Rh 2.74
20 Rh 0.9872 0.9925 0.7382  4 Ge 2.44-2.73, 1 Rh 2.74

Entry 2:
VASP calculation (PBE-GGA) on a relaxed ThGe8Rh4 crystal.

Computed properties:
- SG: R-3m (166)

a = 9.4277 Å, b = 9.4277 Å, c = 9.4277 Å
α = 36.45°, β = 36.45°, γ = 36.45°
Last column: nearest neighbours and their distance in Å.
Sites, in units of the cell vectors:
1 Th 0.0000 0.0000 0.0000  6 Ge 3.01
2 Ge 0.2455 0.2455 0.2455  3 Rh 2.69, 6 Ge 2.95
3 Ge 0.2448 0.7376 0.7376  3 Rh 2.56-2.59
4 Ge 0.2624 0.2624 0.7552  3 Rh 2.56-2.59
5 Ge 0.2624 0.7552 0.2624  3 Rh 2.56-2.59
6 Ge 0.7376 0.2448 0.7376  3 Rh 2.56-2.59
7 Ge 0.7376 0.7376 0.2448  3 Rh 2.56-2.59
8 Ge 0.7552 0.2624 0.2624  3 Rh 2.56-2.59
9 Ge 0.7545 0.7545 0.7545  3 Rh 2.69, 6 Ge 2.95
10 Rh 0.0000 0.0000 0.5000  6 Ge 2.59-2.69
11 Rh 0.0000 0.5000 0.0000  6 Ge 2.59-2.69
12 Rh 0.5000 0.0000 0.0000  6 Ge 2.59-2.69
13 Rh 0.5000 0.5000 0.5000  6 Ge 2.56

Entry 3:
VASP calculation (PBE-GGA) on a relaxed ThGe4Rh4 crystal.

Computed properties:
- SG: P4_2/nmc (137)

a = 6.1537 Å, b = 6.1537 Å, c = 8.2570 Å
α = 90.00°, β = 90.00°, γ = 90.00°
Last column: nearest neighbours and their distance in Å.
Sites, in units of the cell vectors:
1 Th 0.2500 0.7500 0.2500  12 Ge 3.25-3.62, 12 Rh 3.51-3.54
2 Th 0.7500 0.2500 0.7500  12 Ge 3.25-3.62, 12 Rh 3.51-3.54
3 Ge 0.0412 0.2500 0.0780  5 Rh 2.47-2.52, 1 Ge 2.57
4 Ge 0.2500 0.0412 0.5780  5 Rh 2.47-2.52, 1 Ge 2.57
5 Ge 0.2500 0.4588 0.5780  5 Rh 2.47-2.52, 1 Ge 2.57
6 Ge 0.4588 0.2500 0.0780  5 Rh 2.47-2.52, 1 Ge 2.57
7 Ge 0.5412 0.7500 0.9220  5 Rh 2.47-2.52, 1 Ge 2.57
8 Ge 0.7500 0.5412 0.4220  5 Rh 2.47-2.52, 1 Ge 2.57
9 Ge 0.7500 0.9588 0.4220  5 Rh 2.47-2.52, 1 Ge 2.57
10 Ge 0.9588 0.7500 0.9220  5 Rh 2.47-2.52, 1 Ge 2.57
11 Rh 0.0228 0.2500 0.3765  5 Ge 2.47-2.52
12 Rh 0.2500 0.0228 0.8765  5 Ge 2.47-2.52
13 Rh 0.2500 0.4772 0.8765  5 Ge 2.47-2.52
14 Rh 0.4772 0.2500 0.3765  5 Ge 2.47-2.52
15 Rh 0.5228 0.7500 0.6235  5 Ge 2.47-2.52
16 Rh 0.7500 0.5228 0.1235  5 Ge 2.47-2.52
17 Rh 0.7500 0.9772 0.1235  5 Ge 2.47-2.52
18 Rh 0.9772 0.7500 0.6235  5 Ge 2.47-2.52

Entry 4:
VASP calculation (PBE-GGA) on a relaxed Th5Ge5Rh2 crystal.

Computed properties:
- SG: C2/m (12)

a = 8.0582 Å, b = 8.0582 Å, c = 11.5981 Å
α = 129.79°, β = 129.79°, γ = 30.40°
Last column: nearest neighbours and their distance in Å.
Sites, in units of the cell vectors:
1 Th 0.0000 0.0000 0.0000  4 Rh 3.09, 6 Ge 3.15-3.23
2 Th 0.3024 0.3024 0.4144  3 Rh 3.03-3.10, 7 Ge 3.14-3.29
3 Th 0.3763 0.3763 0.1841  5 Ge 3.00-3.14, 1 Rh 3.22
4 Th 0.6237 0.6237 0.8159  5 Ge 3.00-3.14, 1 Rh 3.22
5 Th 0.6976 0.6976 0.5856  3 Rh 3.03-3.10, 7 Ge 3.14-3.29
6 Ge 0.0000 0.0000 0.5000  2 Ge 2.81
7 Ge 0.0595 0.0595 0.3179  2 Rh 2.55, 1 Ge 2.81
8 Ge 0.2960 0.2960 0.8671  1 Rh 2.57
9 Ge 0.7040 0.7040 0.1329  1 Rh 2.57
10 Ge 0.9405 0.9405 0.6821  2 Rh 2.55, 1 Ge 2.81
11 Rh 0.3836 0.3836 0.7413  3 Ge 2.55-2.57
12 Rh 0.6164 0.6164 0.2587  3 Ge 2.55-2.57

Entry 5:
VASP calculation (PBE-GGA) on a relaxed ThTiGe2Rh5 crystal.

Computed properties:
- SG: P4/mmm (123)

a = 4.0063 Å, b = 4.0063 Å, c = 10.8118 Å
α = 90.00°, β = 90.00°, γ = 90.00°
Last column: nearest neighbours and their distance in Å.
Sites, in units of the cell vectors:
1 Th 0.0000 0.0000 0.0000  4 Rh 2.83
2 Ti 0.0000 0.0000 0.5000  8 Rh 2.56
3 Ge 0.5000 0.5000 0.2249  5 Rh 2.43
4 Ge 0.5000 0.5000 0.7751  5 Rh 2.43
5 Rh 0.0000 0.5000 0.3529  2 Ge 2.43, 2 Ti 2.56
6 Rh 0.0000 0.5000 0.6471  2 Ge 2.43, 2 Ti 2.56
7 Rh 0.5000 0.0000 0.3529  2 Ge 2.43, 2 Ti 2.56
8 Rh 0.5000 0.0000 0.6471  2 Ge 2.43, 2 Ti 2.56
9 Rh 0.5000 0.5000 0.0000  2 Ge 2.43

Entry 6:
VASP calculation (PBE-GGA) on a relaxed Tm2ThGe2Rh5 crystal.

Computed properties:
- SG: P4/mbm (127)

a = 9.8650 Å, b = 9.8650 Å, c = 3.7635 Å
α = 90.00°, β = 90.00°, γ = 90.00°
Last column: nearest neighbours and their distance in Å.
Sites, in units of the cell vectors:
1 Tm 0.1694 0.3306 0.0000  3 Ge 2.86-2.94, 2 Rh 3.02
2 Tm 0.3306 0.8306 0.0000  3 Ge 2.86-2.94, 2 Rh 3.02
3 Tm 0.6694 0.1694 0.0000  3 Ge 2.86-2.94, 2 Rh 3.02
4 Tm 0.8306 0.6694 0.0000  3 Ge 2.86-2.94, 2 Rh 3.02
5 Th 0.0000 0.0000 0.0000  8 Rh 2.91
6 Th 0.5000 0.5000 0.0000  8 Rh 2.91
7 Ge 0.1258 0.6258 0.0000  6 Rh 2.52-2.57
8 Ge 0.3742 0.1258 0.0000  6 Rh 2.52-2.57
9 Ge 0.6258 0.8742 0.0000  6 Rh 2.52-2.57
10 Ge 0.8742 0.3742 0.0000  6 Rh 2.52-2.57
11 Rh 0.0000 0.5000 0.5000  4 Ge 2.57
12 Rh 0.0699 0.7855 0.5000  2 Ge 2.52
13 Rh 0.2145 0.0699 0.5000  2 Ge 2.52
14 Rh 0.2855 0.5699 0.5000  2 Ge 2.52
15 Rh 0.4301 0.2855 0.5000  2 Ge 2.52
16 Rh 0.5000 0.0000 0.5000  4 Ge 2.57
17 Rh 0.5699 0.7145 0.5000  2 Ge 2.52
18 Rh 0.7145 0.4301 0.5000  2 Ge 2.52
19 Rh 0.7855 0.9301 0.5000  2 Ge 2.52
20 Rh 0.9301 0.2145 0.5000  2 Ge 2.52

Entry 7:
VASP calculation (PBE-GGA) on a relaxed TmTh2Ge3Rh4 crystal.

Computed properties:
- SG: P-4m2 (115)

a = 4.1486 Å, b = 4.1486 Å, c = 11.3843 Å
α = 90.00°, β = 90.00°, γ = 90.00°
Last column: nearest neighbours and their distance in Å.
Sites, in units of the cell vectors:
1 Tm 0.0000 0.0000 0.0000  4 Rh 2.77, 4 Ge 2.93
2 Th 0.0000 0.5000 0.7305  8 Rh 3.18-3.34, 4 Ge 3.18
3 Th 0.5000 0.0000 0.2695  8 Rh 3.18-3.34, 4 Ge 3.18
4 Ge 0.0000 0.5000 0.3784  5 Rh 2.46-2.49
5 Ge 0.5000 0.0000 0.6216  5 Rh 2.46-2.49
6 Ge 0.5000 0.5000 0.0000  4 Rh 2.77, 4 Tm 2.93
7 Rh 0.0000 0.0000 0.5000  4 Ge 2.49
8 Rh 0.0000 0.5000 0.1619  1 Ge 2.46
9 Rh 0.5000 0.0000 0.8381  1 Ge 2.46
10 Rh 0.5000 0.5000 0.5000  4 Ge 2.49

Entry 8:
VASP calculation (PBE-GGA) on a relaxed ThUGe2Rh5 crystal.

Computed properties:
- SG: P4/mmm (123)

a = 3.9757 Å, b = 3.9757 Å, c = 11.5433 Å
α = 90.00°, β = 90.00°, γ = 90.00°
Last column: nearest neighbours and their distance in Å.
Sites, in units of the cell vectors:
1 Th 0.0000 0.0000 0.0000  4 Rh 2.81
2 U 0.5000 0.5000 0.5000  8 Rh 2.68
3 Ge 0.5000 0.5000 0.2105  5 Rh 2.43-2.52
4 Ge 0.5000 0.5000 0.7895  5 Rh 2.43-2.52
5 Rh 0.0000 0.5000 0.3440  2 Ge 2.52, 2 U 2.68, 4 Rh 2.81
6 Rh 0.0000 0.5000 0.6560  2 Ge 2.52, 2 U 2.68, 4 Rh 2.81
7 Rh 0.5000 0.0000 0.3440  2 Ge 2.52, 2 U 2.68, 4 Rh 2.81
8 Rh 0.5000 0.0000 0.6560  2 Ge 2.52, 2 U 2.68, 4 Rh 2.81
9 Rh 0.5000 0.5000 0.0000  2 Ge 2.43

Entry 9:
VASP calculation (PBE-GGA) on a relaxed YThGe2Rh5 crystal.

Computed properties:
- SG: P4/mmm (123)

a = 4.2042 Å, b = 4.2042 Å, c = 9.0843 Å
α = 90.00°, β = 90.00°, γ = 90.00°
Last column: nearest neighbours and their distance in Å.
Sites, in units of the cell vectors:
1 Y 0.0000 0.0000 0.0000  8 Rh 3.22, 8 Ge 3.23
2 Th 0.0000 0.0000 0.5000  12 Rh 2.97-2.98
3 Ge 0.5000 0.5000 0.1390  4 Rh 2.41, 1 Ge 2.53
4 Ge 0.5000 0.5000 0.8610  4 Rh 2.41, 1 Ge 2.53
5 Rh 0.0000 0.5000 0.2682  2 Ge 2.41
6 Rh 0.0000 0.5000 0.7318  2 Ge 2.41
7 Rh 0.5000 0.0000 0.2682  2 Ge 2.41
8 Rh 0.5000 0.0000 0.7318  2 Ge 2.41
9 Rh 0.5000 0.5000 0.5000  4 Th 2.97, 8 Rh 2.98, 2 Ge 3.28

Entry 10:
VASP calculation (PBE-GGA) on a relaxed Th2ZnGe4Rh3 crystal.

Computed properties:
- SG: P-4m2 (115)

a = 4.2737 Å, b = 4.2737 Å, c = 10.2445 Å
α = 90.00°, β = 90.00°, γ = 90.00°
Last column: nearest neighbours and their distance in Å.
Sites, in units of the cell vectors:
1 Th 0.0000 0.5000 0.2463  8 Ge 3.25-3.31, 6 Rh 3.27-3.36, 2 Zn 3.36
2 Th 0.5000 0.0000 0.7537  8 Ge 3.25-3.31, 6 Rh 3.27-3.36, 2 Zn 3.36
3 Zn 0.0000 0.0000 0.5000  4 Ge 2.56
4 Ge 0.0000 0.0000 0.0000  4 Rh 2.48
5 Ge 0.0000 0.5000 0.6379  3 Rh 2.44-2.56, 2 Zn 2.56
6 Ge 0.5000 0.0000 0.3621  3 Rh 2.44-2.56, 2 Zn 2.56
7 Ge 0.5000 0.5000 0.0000  4 Rh 2.48
8 Rh 0.0000 0.5000 0.8763  5 Ge 2.44-2.48
9 Rh 0.5000 0.0000 0.1237  5 Ge 2.44-2.48
10 Rh 0.5000 0.5000 0.5000  4 Ge 2.56

Entry 11:
VASP calculation (PBE-GGA) on a relaxed Th4ZnGe3Rh12 crystal.

Computed properties:
- SG: Im-3m (229)

a = 7.9580 Å, b = 7.9580 Å, c = 7.9580 Å
α = 109.47°, β = 109.47°, γ = 109.47°
Last column: nearest neighbours and their distance in Å.
Sites, in units of the cell vectors:
1 Th 0.0000 0.0000 0.5000  12 Rh 3.25
2 Th 0.0000 0.5000 0.0000  12 Rh 3.25
3 Th 0.5000 0.0000 0.0000  12 Rh 3.25
4 Th 0.5000 0.5000 0.5000  12 Rh 3.25
5 Zn 0.0000 0.0000 0.0000  6 Rh 2.32
6 Ge 0.0000 0.5000 0.5000  6 Rh 2.28-2.30
7 Ge 0.5000 0.0000 0.5000  6 Rh 2.28-2.30
8 Ge 0.5000 0.5000 0.0000  6 Rh 2.28-2.30
9 Rh 0.0000 0.2522 0.2522  1 Ge 2.28, 1 Zn 2.32
10 Rh 0.0000 0.7478 0.7478  1 Ge 2.28, 1 Zn 2.32
11 Rh 0.2500 0.5000 0.7500  2 Ge 2.30
12 Rh 0.2500 0.7500 0.5000  2 Ge 2.30
13 Rh 0.2522 0.0000 0.2522  1 Ge 2.28, 1 Zn 2.32
14 Rh 0.2522 0.2522 0.0000  1 Ge 2.28, 1 Zn 2.32
15 Rh 0.5000 0.2500 0.7500  2 Ge 2.30
16 Rh 0.5000 0.7500 0.2500  2 Ge 2.30
17 Rh 0.7478 0.0000 0.7478  1 Ge 2.28, 1 Zn 2.32
18 Rh 0.7478 0.7478 0.0000  1 Ge 2.28, 1 Zn 2.32
19 Rh 0.7500 0.2500 0.5000  2 Ge 2.30
20 Rh 0.7500 0.5000 0.2500  2 Ge 2.30

Entry 12:
VASP calculation (PBE-GGA) on a relaxed Th2ZnGe3Rh4 crystal.

Computed properties:
- SG: P-4m2 (115)

a = 4.2100 Å, b = 4.2100 Å, c = 10.4141 Å
α = 90.00°, β = 90.00°, γ = 90.00°
Last column: nearest neighbours and their distance in Å.
Sites, in units of the cell vectors:
1 Th 0.0000 0.5000 0.2430  8 Rh 3.17-3.41, 6 Ge 3.26-3.29, 2 Zn 3.29
2 Th 0.5000 0.0000 0.7570  8 Rh 3.17-3.41, 6 Ge 3.26-3.29, 2 Zn 3.29
3 Zn 0.5000 0.5000 0.0000  4 Rh 2.55
4 Ge 0.0000 0.0000 0.0000  4 Rh 2.55
5 Ge 0.0000 0.5000 0.6289  5 Rh 2.43-2.50
6 Ge 0.5000 0.0000 0.3711  5 Rh 2.43-2.50
7 Rh 0.0000 0.0000 0.5000  4 Ge 2.50
8 Rh 0.0000 0.5000 0.8623  3 Ge 2.43-2.55, 2 Zn 2.55
9 Rh 0.5000 0.0000 0.1377  3 Ge 2.43-2.55, 2 Zn 2.55
10 Rh 0.5000 0.5000 0.5000  4 Ge 2.50

no.,total magnetization (μB per formula unit),density of states at the Fermi level (states/eV/f.u.),E_tot (eV per atom)
1,0.00,5.241,-6.79
2,0.00,8.903,-5.81
3,0.00,5.048,-6.75
4,0.00,7.032,-7.04
5,0.00,3.038,-7.31
6,0.00,3.002,-7.13
7,0.00,7.106,-7.16
8,0.00,5.818,-7.61
9,0.00,4.879,-7.50
10,0.00,4.097,-6.44
11,0.00,14.411,-7.04
12,0.00,5.804,-6.78